Density functional theory data (GGA-PBE) for a relaxed structure of Co2ReIr.

CIF file:
```
data_Co2ReIr
_cell_length_a 2.6926
_cell_length_b 2.6926
_cell_length_c 25.1769
_cell_angle_alpha 90.00
_cell_angle_beta 90.00
_cell_angle_gamma 120.00
_symmetry_space_group_name_H-M 'R 3 m'
_symmetry_Int_Tables_number 160
_symmetry_space_group_name_Hall 'R 3 -2"'
loop_
_atom_site_label
_atom_site_fract_x
_atom_site_fract_y
_atom_site_fract_z
_atom_site_occupancy
Co1 0.0000 0.0000 0.0000 1
Co2 0.0000 0.0000 0.2570 1
Re1 0.0000 0.0000 0.5058 1
Ir1 0.0000 0.0000 0.7516 1
```

DFT total energy: -105.3 eV per cell
DFT formation energy: 0.104 eV/atom